# La2CdSn4Ir3, relaxed, DFT PBE-GGA
data_La2CdSn4Ir3
_chemical_formula_sum 'La2 Cd1 Sn4 Ir3'
_symmetry_space_group_name_H-M 'P 1'
_symmetry_Int_Tables_number 1
_symmetry_space_group_name_Hall 'P 1'
_cell_length_a 4.567
_cell_length_b 4.567
_cell_length_c 11.171
_cell_angle_alpha 90.00
_cell_angle_beta 90.00
_cell_angle_gamma 90.00
loop_
_atom_site_label
_atom_site_fract_x
_atom_site_fract_y
_atom_site_fract_z
_atom_site_occupancy
La1 0.500 0.000 0.238 1
La2 0.000 0.500 0.762 1
Cd1 0.500 0.500 0.500 1
Sn1 0.500 0.500 0.000 1
Sn2 0.000 0.000 0.000 1
Sn3 0.500 0.000 0.642 1
Sn4 0.000 0.500 0.358 1
Ir1 0.000 0.000 0.500 1
Ir2 0.500 0.000 0.874 1
Ir3 0.000 0.500 0.126 1
# space group = P-4m2
# size of the total moment = 0.00 Bohr magnetons per cell
# calculated formation energy = -51.4 kJ/mol of atoms